# 1
First-principles (PBE) data for Pr2Er2O5 after structural relaxation, as listed in OQMD.

SG: P4/mmm, No. 123
ΔE to the lowest computed polymorph: 0 meV/atom
crystal system: tetragonal
magnetic moment: 0.01 μB/f.u.

Lattice parameters (Å, degrees): 4.292 4.292 7.708 90.00 90.00 90.00
Sites, in units of the cell vectors:
Pr 0.000 0.000 0.000
Pr 0.000 0.000 0.500
Er 0.500 0.500 0.230
Er 0.500 0.500 0.770
O 0.000 0.500 0.244
O 0.000 0.500 0.756
O 0.500 0.000 0.244
O 0.500 0.000 0.756
O 0.500 0.500 0.500

---

# 2
First-principles (PBE) data for PrErO4 after structural relaxation, as listed in OQMD.

SG: Cm, No. 8
crystal system: monoclinic
magnetic moment: 0.00 μB/f.u.
uncorrected energy: -7.73 eV per atom

Lattice parameters (Å, degrees): 6.795 3.806 6.264 90.00 96.93 90.00
Sites, in units of the cell vectors:
Pr 0.000 0.000 0.000
Pr 0.500 0.500 0.000
Er 0.376 0.000 0.461
Er 0.876 0.500 0.461
O 0.043 0.000 0.389
O 0.107 0.500 0.778
O 0.280 0.500 0.653
O 0.339 0.000 0.102
O 0.543 0.500 0.389
O 0.607 0.000 0.778
O 0.780 0.000 0.653
O 0.839 0.500 0.102

---

# 3
First-principles (PBE) data for Pr2Er2O5 after structural relaxation, as listed in OQMD.

SG: P4/mmm, No. 123
ΔE to the lowest computed polymorph: 122 meV/atom
crystal system: tetragonal
magnetic moment: 1.21 μB/f.u.

Lattice parameters (Å, degrees): 3.954 3.954 9.823 90.00 90.00 90.00
Sites, in units of the cell vectors:
Pr 0.000 0.000 0.242
Pr 0.000 0.000 0.758
Er 0.500 0.500 0.000
Er 0.500 0.500 0.500
O 0.000 0.000 0.500
O 0.000 0.500 0.134
O 0.000 0.500 0.866
O 0.500 0.000 0.134
O 0.500 0.000 0.866

---

# 4
First-principles (PBE) data for ErPt2O4 after structural relaxation, as listed in OQMD.

SG: Fd-3m, No. 227
crystal system: cubic
magnetic moment: 2.40 μB/f.u.
uncorrected energy: -6.17 eV per atom

Lattice parameters (Å, degrees): 6.492 6.492 6.492 60.00 60.00 60.00
Sites, in units of the cell vectors:
Er 0.125 0.125 0.125
Er 0.875 0.875 0.875
Pt 0.000 0.500 0.500
Pt 0.500 0.000 0.500
Pt 0.500 0.500 0.000
Pt 0.500 0.500 0.500
O 0.261 0.261 0.261
O 0.261 0.261 0.716
O 0.261 0.716 0.261
O 0.284 0.739 0.739
O 0.716 0.261 0.261
O 0.739 0.284 0.739
O 0.739 0.739 0.284
O 0.739 0.739 0.739

---

# 5
First-principles (PBE) data for Rb2ErO4 after structural relaxation, as listed in OQMD.

SG: Fd-3m, No. 227
crystal system: cubic
magnetic moment: 3.00 μB/f.u.
uncorrected energy: -5.06 eV per atom

Lattice parameters (Å, degrees): 7.562 7.562 7.562 60.00 60.00 60.00
Sites, in units of the cell vectors:
Rb 0.000 0.000 0.000
Rb 0.000 0.000 0.500
Rb 0.000 0.500 0.000
Rb 0.500 0.000 0.000
Er 0.375 0.375 0.375
Er 0.625 0.625 0.625
O 0.261 0.261 0.261
O 0.261 0.261 0.717
O 0.261 0.717 0.261
O 0.283 0.739 0.739
O 0.717 0.261 0.261
O 0.739 0.283 0.739
O 0.739 0.739 0.283
O 0.739 0.739 0.739

---

# 6
First-principles (PBE) data for Rb2ErScO4 after structural relaxation, as listed in OQMD.

SG: P-3m1, No. 164
crystal system: trigonal
magnetic moment: 0.01 μB/f.u.
uncorrected energy: -6.75 eV per atom

Lattice parameters (Å, degrees): 3.350 3.350 12.812 90.00 90.00 120.00
Sites, in units of the cell vectors:
Rb 0.333 0.667 0.246
Rb 0.667 0.333 0.754
Er 0.000 0.000 0.500
Sc 0.000 0.000 0.000
O 0.333 0.667 0.591
O 0.333 0.667 0.918
O 0.667 0.333 0.082
O 0.667 0.333 0.409

---

# 7
First-principles (PBE) data for RbErSe2O8 after structural relaxation, as listed in OQMD.

SG: P-3m1, No. 164
crystal system: trigonal
magnetic moment: 0.00 μB/f.u.
uncorrected energy: -5.88 eV per atom

Lattice parameters (Å, degrees): 5.639 5.639 7.583 90.00 90.00 120.00
Sites, in units of the cell vectors:
Rb 0.000 0.000 0.000
Er 0.000 0.000 0.500
Se 0.333 0.667 0.240
Se 0.667 0.333 0.760
O 0.174 0.349 0.320
O 0.174 0.826 0.320
O 0.333 0.667 0.025
O 0.349 0.174 0.680
O 0.651 0.826 0.320
O 0.667 0.333 0.975
O 0.826 0.174 0.680
O 0.826 0.651 0.680

---

# 8
First-principles (PBE) data for Rb2TbErO4 after structural relaxation, as listed in OQMD.

SG: P-3m1, No. 164
crystal system: trigonal
magnetic moment: 0.00 μB/f.u.
uncorrected energy: -6.57 eV per atom

Lattice parameters (Å, degrees): 3.463 3.463 12.907 90.00 90.00 120.00
Sites, in units of the cell vectors:
Rb 0.333 0.667 0.251
Rb 0.667 0.333 0.749
Tb 0.000 0.000 0.000
Er 0.000 0.000 0.500
O 0.333 0.667 0.588
O 0.333 0.667 0.909
O 0.667 0.333 0.091
O 0.667 0.333 0.412

---

Among the records above, which one has the highest magnetic moment?
Rb2ErO4